Density functional theory data (PBE-GGA) for crystalline Y2Ta4P3C3 at its relaxed geometry.

The structure in CIF format:
```
data_Y2Ta4P3C3
_chemical_formula_sum 'Y4 Ta8 P6 C6'
_symmetry_space_group_name_H-M 'P 1'
_symmetry_Int_Tables_number 1
_cell_length_a 5.888
_cell_length_b 5.888
_cell_length_c 12.512
_cell_angle_alpha 103.48
_cell_angle_beta 103.48
_cell_angle_gamma 60.04
loop_
_symmetry_equiv_pos_as_xyz
'x,y,z'
loop_
_atom_site_label
_atom_site_fract_x
_atom_site_fract_y
_atom_site_fract_z
Y1 0.037 0.877 0.611
Y2 0.123 0.963 0.889
Y3 0.877 0.037 0.111
Y4 0.963 0.123 0.389
Ta1 0.201 0.360 0.097
Ta2 0.295 0.472 0.403
Ta3 0.360 0.201 0.597
Ta4 0.472 0.295 0.903
Ta5 0.528 0.705 0.097
Ta6 0.640 0.799 0.403
Ta7 0.705 0.528 0.597
Ta8 0.799 0.640 0.903
P1 0.084 0.280 0.752
P2 0.280 0.084 0.252
P3 0.445 0.555 0.750
P4 0.555 0.445 0.250
P5 0.720 0.916 0.748
P6 0.916 0.720 0.248
C1 0.000 0.500 0.500
C2 0.178 0.643 0.000
C3 0.357 0.822 0.500
C4 0.500 0.000 0.000
C5 0.643 0.178 0.500
C6 0.822 0.357 0.000
```

Total DFT energy (no corrections)   -9.41 eV/atom
V   361.9 Å³ per cell

Density functional theory data (PBE-GGA) for crystalline GdTmPbC at its relaxed geometry.

The structure in CIF format:
```
data_GdTmPbC
_chemical_formula_sum 'Gd2 Tm2 Pb2 C2'
_symmetry_space_group_name_H-M 'P 1'
_symmetry_Int_Tables_number 1
_cell_length_a 3.633
_cell_length_b 3.633
_cell_length_c 16.103
_cell_angle_alpha 90.00
_cell_angle_beta 90.00
_cell_angle_gamma 120.00
loop_
_symmetry_equiv_pos_as_xyz
'x,y,z'
loop_
_atom_site_label
_atom_site_fract_x
_atom_site_fract_y
_atom_site_fract_z
Gd1 0.000 0.000 0.169
Gd2 0.000 0.000 0.831
Tm1 0.333 0.667 0.334
Tm2 0.333 0.667 0.666
Pb1 0.000 0.000 0.500
Pb2 0.333 0.667 0.000
C1 0.667 0.333 0.254
C2 0.667 0.333 0.746
```

Total DFT energy (no corrections)   -6.00 eV/atom
V   184.1 Å³ per cell

How do the records compare in mass density? In the order shown, they have 9.5, 9.8 g cm⁻³.